Model w:
Below is a geometry-optimized HRuAu3 structure, with properties calculated at the PBE level.

Cell: 5.081 5.081 5.081 Å, 90.00 90.00 90.00°
Fractional coordinates of all 5 atoms:
H1 0.000 0.000 0.000
Ru1 0.500 0.500 0.500
Au1 0.000 0.500 0.500
Au2 0.500 0.000 0.500
Au3 0.500 0.500 0.000

Results
The size of the total moment is 3.4 μB per formula unit.

***

Model x:
Below is a geometry-optimized HRuAu3 structure, with properties calculated at the PBE level.

Cell: 4.154 4.154 4.154 Å, 90.00 90.00 90.00°
Fractional coordinates of all 5 atoms:
H1 0.000 0.000 0.000
Ru1 0.500 0.500 0.500
Au1 0.000 0.000 0.500
Au2 0.000 0.500 0.000
Au3 0.500 0.000 0.000

Results
The size of the total moment is 0.5 μB per formula unit.

***

Here is how they stack up, most stable first: model x, model w.